A relaxed structure of Ti2MnPbO6, computed with PBE+U.

Properties
Its total energy is -8.05 eV per atom. Its density of states at the Fermi level is 0.00 states/eV/atom. Its space group is C2/c, No. 15.

Lattice parameters (Å, degrees): 7.3392 7.3392 6.4814 105.62 105.62 100.67
Atoms (fractional coordinates):
Ti1 0.0684 0.2180 0.1748
Ti2 0.2180 0.0684 0.6748
Ti3 0.7820 0.9316 0.3252
Ti4 0.9316 0.7820 0.8252
Mn1 0.2939 0.7061 0.2500
Mn2 0.7061 0.2939 0.7500
Pb1 0.3992 0.6008 0.7500
Pb2 0.6008 0.3992 0.2500
O1 0.0750 0.1554 0.4493
O2 0.1214 0.6768 0.9322
O3 0.1554 0.0750 0.9493
O4 0.2885 0.4368 0.3134
O5 0.3232 0.8786 0.5678
O6 0.4368 0.2885 0.8134
O7 0.5632 0.7115 0.1866
O8 0.6768 0.1214 0.4322
O9 0.7115 0.5632 0.6866
O10 0.8446 0.9250 0.0507
O11 0.8786 0.3232 0.0678
O12 0.9250 0.8446 0.5507